[1]
A plane-wave DFT calculation with GGA-PBE was carried out for a relaxed InAsRuCl crystal.

Energy above the most stable polymorph in this dataset = 3.64 kcal/mol of atoms
SG = No. 1
Crystal system = triclinic
Uncorrected formation energy = -0.152 eV per atom
Energy = -4.779 eV per atom
D(E_F) = 1.73 states/eV/cell

Lattice parameters (Å, degrees): 3.181 4.506 6.795 104.22 98.23 108.60
Sites, in units of the cell vectors:
Cl 0.582 0.914 0.052
As 0.060 0.643 0.438
In 0.479 0.306 0.807
Ru 0.775 0.084 0.466

---

[2]
A plane-wave DFT calculation with GGA-PBE was carried out for a relaxed CaTc crystal.

ΔH_f (0 K) = 1637 meV per atom
Energy above the most stable polymorph in this dataset = 32.85 kcal/mol of atoms
SG = No. 225
Crystal system = cubic
Energy = -4.546 eV per atom
D(E_F) = 13.86 states/eV/cell

Lattice parameters (Å, degrees): 5.971 5.971 5.971 90.00 90.00 90.00
Sites, in units of the cell vectors:
Ca 0.500 0.000 0.500
Ca 0.500 0.500 0.000
Ca 0.000 0.500 0.500
Ca 0.000 0.000 0.000
Tc 0.000 0.500 0.000
Tc 0.500 0.500 0.500
Tc 0.000 0.000 0.500
Tc 0.500 0.000 0.000

---

[3]
A plane-wave DFT calculation with GGA-PBE was carried out for a relaxed LaCo2Au crystal.

ΔH_f (0 K) = 226 meV per atom
SG = No. 216
Crystal system = cubic
Energy = -5.378 eV per atom
D(E_F) = 5.57 states/eV/cell

Lattice parameters (Å, degrees): 4.778 4.778 4.778 60.00 60.00 60.00
Sites, in units of the cell vectors:
La 0.750 0.750 0.750
Co 0.250 0.250 0.250
Co 0.000 0.000 0.000
Au 0.500 0.500 0.500

---

[4]
A plane-wave DFT calculation with GGA-PBE was carried out for a relaxed PaB2W crystal.

ΔH_f (0 K) = -272 meV per atom
Energy above the most stable polymorph in this dataset = 0.00 kcal/mol of atoms
SG = No. 62
Crystal system = orthorhombic
Energy = -9.223 eV per atom
D(E_F) = 9.48 states/eV/cell

Lattice parameters (Å, degrees): 3.387 6.163 10.595 90.00 90.00 90.00
Sites, in units of the cell vectors:
B 0.750 0.966 0.674
B 0.750 0.466 0.826
B 0.250 0.034 0.326
B 0.250 0.534 0.174
B 0.750 0.773 0.807
B 0.250 0.727 0.307
B 0.750 0.273 0.693
B 0.250 0.227 0.193
Pa 0.250 0.613 0.642
Pa 0.750 0.387 0.358
Pa 0.750 0.887 0.142
Pa 0.250 0.113 0.858
W 0.250 0.637 0.937
W 0.250 0.137 0.563
W 0.750 0.363 0.063
W 0.750 0.863 0.437

---

[5]
A plane-wave DFT calculation with GGA-PBE was carried out for a relaxed NaCa3Tc crystal.

ΔH_f (0 K) = 431 meV per atom
Energy above the most stable polymorph in this dataset = 0.00 kcal/mol of atoms
SG = No. 221
Crystal system = cubic
Energy = -3.107 eV per atom
D(E_F) = 4.47 states/eV/cell

Lattice parameters (Å, degrees): 5.615 5.615 5.615 90.00 90.00 90.00
Sites, in units of the cell vectors:
Tc 0.000 0.000 0.000
Ca 0.000 0.500 0.000
Ca 0.000 0.000 0.500
Ca 0.500 0.000 0.000
Na 0.500 0.500 0.500

---

[6]
A plane-wave DFT calculation with GGA-PBE was carried out for a relaxed Ta2TlWAu crystal.

ΔH_f (0 K) = 2628 meV per atom
SG = No. 123
Crystal system = tetragonal
Energy = -5.832 eV per atom
D(E_F) = 2.75 states/eV/cell

Lattice parameters (Å, degrees): 5.021 4.949 5.021 90.00 90.00 90.00
Sites, in units of the cell vectors:
Ta 0.000 0.000 0.500
Ta 0.500 0.000 0.000
Tl 0.000 0.000 0.000
Au 0.500 0.500 0.500
W 0.000 0.500 0.000

---

[7]
A plane-wave DFT calculation with GGA-PBE was carried out for a relaxed GdNbNiOs crystal.

ΔH_f (0 K) = -47 meV per atom
SG = No. 216
Crystal system = cubic
Energy = -10.337 eV per atom
D(E_F) = 3.38 states/eV/cell

Lattice parameters (Å, degrees): 4.634 4.634 4.634 60.00 60.00 60.00
Sites, in units of the cell vectors:
Os 0.750 0.750 0.750
Nb 0.000 0.000 0.000
Ni 0.250 0.250 0.250
Gd 0.500 0.500 0.500

---

[8]
A plane-wave DFT calculation with GGA-PBE was carried out for a relaxed ZnCu8Pd6 crystal.

ΔH_f (0 K) = -82 meV per atom
SG = No. 148
Crystal system = trigonal
Energy = -4.428 eV per atom
D(E_F) = 4.60 states/eV/cell

Lattice parameters (Å, degrees): 6.647 6.647 6.639 59.96 59.96 60.00
Sites, in units of the cell vectors:
Cu 0.805 0.124 0.406
Cu 0.423 0.423 0.731
Cu 0.195 0.876 0.594
Cu 0.334 0.195 0.594
Cu 0.577 0.577 0.269
Cu 0.666 0.805 0.406
Cu 0.876 0.334 0.594
Cu 0.124 0.666 0.406
Pd 0.544 0.263 0.133
Pd 0.263 0.059 0.133
Pd 0.941 0.456 0.867
Pd 0.737 0.941 0.867
Pd 0.059 0.544 0.133
Pd 0.456 0.737 0.867
Zn 0.000 0.000 0.000

---

[9]
A plane-wave DFT calculation with GGA-PBE was carried out for a relaxed SrCo2ReI crystal.

SG = No. 123
Crystal system = tetragonal
Uncorrected formation energy = 0.740 eV per atom
Energy = -5.238 eV per atom
D(E_F) = 5.83 states/eV/cell

Lattice parameters (Å, degrees): 4.609 5.532 4.609 90.00 90.00 90.00
Sites, in units of the cell vectors:
Co 0.500 0.000 0.000
Co 0.000 0.000 0.500
Re 0.000 0.000 0.000
Sr 0.500 0.500 0.500
I 0.000 0.500 0.000

---

[10]
A plane-wave DFT calculation with GGA-PBE was carried out for a relaxed Pr4NdSm2Tm2 crystal.

ΔH_f (0 K) = 21 meV per atom
SG = No. 12
Crystal system = monoclinic
Energy = -4.676 eV per atom
D(E_F) = 14.08 states/eV/cell

Lattice parameters (Å, degrees): 5.154 8.153 8.123 107.45 90.00 108.42
Sites, in units of the cell vectors:
Tm 0.332 0.663 0.001
Tm 0.668 0.337 0.999
Pr 0.777 0.554 0.671
Pr 0.223 0.446 0.329
Pr 0.554 0.109 0.331
Pr 0.446 0.891 0.669
Sm 0.112 0.224 0.669
Sm 0.888 0.776 0.331
Nd 0.000 0.000 0.000

---

[11]
A plane-wave DFT calculation with GGA-PBE was carried out for a relaxed KRbClF crystal.

Energy above the most stable polymorph in this dataset = 2.08 kcal/mol of atoms
SG = No. 216
Crystal system = cubic
Uncorrected formation energy = -2.155 eV per atom
Energy = -3.601 eV per atom
D(E_F) = 0.00 states/eV/cell

Lattice parameters (Å, degrees): 5.230 5.230 5.230 60.00 60.00 60.00
Sites, in units of the cell vectors:
Cl 0.250 0.250 0.250
Rb 0.000 0.000 0.000
K 0.500 0.500 0.500
F 0.750 0.750 0.750

---

[12]
A plane-wave DFT calculation with GGA-PBE was carried out for a relaxed K2PmNpSe4 crystal.

SG = No. 10
Crystal system = monoclinic
Uncorrected formation energy = -1.501 eV per atom
Energy = -5.729 eV per atom
D(E_F) = 7.72 states/eV/cell

Lattice parameters (Å, degrees): 4.300 7.461 8.071 107.99 90.00 90.00
Sites, in units of the cell vectors:
K 0.500 0.000 0.500
K 0.000 0.500 0.500
Se 0.500 0.762 0.790
Se 0.000 0.268 0.794
Se 0.500 0.238 0.210
Se 0.000 0.732 0.206
Np 0.500 0.500 0.000
Pm 0.000 0.000 0.000

---

[13]
A plane-wave DFT calculation with GGA-PBE was carried out for a relaxed ZrTe3H crystal.

SG = No. 221
Crystal system = cubic
Energy = -4.018 eV per atom
D(E_F) = 4.99 states/eV/cell

Lattice parameters (Å, degrees): 5.629 5.629 5.629 90.00 90.00 90.00
Sites, in units of the cell vectors:
Te 0.500 0.000 0.000
Te 0.000 0.500 0.000
Te 0.000 0.000 0.500
Zr 0.000 0.000 0.000
H 0.500 0.500 0.500

---

[14]
A plane-wave DFT calculation with GGA-PBE was carried out for a relaxed PPt3Se crystal.

Energy above the most stable polymorph in this dataset = 0.00 kcal/mol of atoms
SG = No. 221
Crystal system = cubic
Uncorrected formation energy = 0.350 eV per atom
Energy = -5.054 eV per atom
D(E_F) = 3.36 states/eV/cell

Lattice parameters (Å, degrees): 4.547 4.547 4.547 90.00 90.00 90.00
Sites, in units of the cell vectors:
Pt 0.000 0.000 0.500
Pt 0.000 0.500 0.000
Pt 0.500 0.000 0.000
Se 0.500 0.500 0.500
P 0.000 0.000 0.000

---

[15]
A plane-wave DFT calculation with GGA-PBE was carried out for a relaxed Ca2AgBiN crystal.

SG = No. 123
Crystal system = tetragonal
Uncorrected formation energy = -0.497 eV per atom
Energy = -4.309 eV per atom
D(E_F) = 2.55 states/eV/cell

Lattice parameters (Å, degrees): 4.863 4.863 4.622 90.00 90.00 90.00
Sites, in units of the cell vectors:
Ca 0.000 0.500 0.000
Ca 0.500 0.000 0.000
Ag 0.000 0.000 0.500
N 0.000 0.000 0.000
Bi 0.500 0.500 0.500

---

[16]
A plane-wave DFT calculation with GGA-PBE was carried out for a relaxed Cs2IBrCl6 crystal.

SG = No. 225
Crystal system = cubic
Uncorrected formation energy = -0.851 eV per atom
Energy = -2.452 eV per atom

Lattice parameters (Å, degrees): 8.038 8.038 8.038 60.00 60.00 60.00
Sites, in units of the cell vectors:
Cl 0.228 0.228 0.772
Cl 0.772 0.228 0.772
Cl 0.772 0.772 0.228
Cl 0.228 0.772 0.772
Cl 0.228 0.772 0.228
Cl 0.772 0.228 0.228
I 0.000 0.000 0.000
Br 0.500 0.500 0.500
Cs 0.250 0.250 0.250
Cs 0.750 0.750 0.750

---

[17]
A plane-wave DFT calculation with GGA-PBE was carried out for a relaxed BaTlTc crystal.

ΔH_f (0 K) = 1397 meV per atom
Energy above the most stable polymorph in this dataset = 18.70 kcal/mol of atoms
SG = No. 216
Crystal system = cubic
Energy = -3.488 eV per atom
D(E_F) = 4.93 states/eV/cell

Lattice parameters (Å, degrees): 5.424 5.424 5.424 60.00 60.00 60.00
Sites, in units of the cell vectors:
Tl 0.500 0.500 0.500
Ba 0.750 0.750 0.750
Tc 0.000 0.000 0.000

---

[18]
A plane-wave DFT calculation with GGA-PBE was carried out for a relaxed AcIn9Cu2 crystal.

ΔH_f (0 K) = -33 meV per atom
SG = No. 141
Crystal system = tetragonal
Energy = -3.112 eV per atom
D(E_F) = 9.34 states/eV/cell

Lattice parameters (Å, degrees): 7.367 9.792 9.792 81.87 67.91 67.91
Sites, in units of the cell vectors:
In 0.765 0.562 0.808
In 0.078 0.308 0.938
In 0.985 0.938 0.692
In 0.000 0.000 0.000
In 0.078 0.938 0.308
In 0.615 0.308 0.062
In 0.427 0.438 0.808
In 0.135 0.438 0.192
In 0.672 0.562 0.192
In 0.427 0.808 0.438
In 0.615 0.062 0.308
In 0.323 0.062 0.692
In 0.323 0.692 0.062
In 0.672 0.192 0.562
In 0.985 0.692 0.938
In 0.135 0.192 0.438
In 0.750 0.500 0.500
In 0.765 0.808 0.562
Cu 0.375 0.750 0.750
Cu 0.875 0.250 0.750
Cu 0.875 0.750 0.250
Cu 0.875 0.250 0.250
Ac 0.500 0.000 0.000
Ac 0.250 0.500 0.500

---

[19]
A plane-wave DFT calculation with GGA-PBE was carried out for a relaxed Mg3Cu5 crystal.

ΔH_f (0 K) = -22 meV per atom
Energy above the most stable polymorph in this dataset = 0.92 kcal/mol of atoms
SG = No. 1
Crystal system = triclinic
Energy = -3.180 eV per atom
D(E_F) = 4.42 states/eV/cell

Lattice parameters (Å, degrees): 7.334 7.329 7.042 93.24 93.27 139.85
Sites, in units of the cell vectors:
Cu 0.843 0.141 0.192
Cu 0.270 0.967 0.920
Cu 0.640 0.343 0.192
Cu 0.408 0.192 0.611
Cu 0.467 0.771 0.920
Cu 0.543 0.638 0.239
Cu 0.255 0.754 0.626
Cu 0.138 0.043 0.238
Cu 0.692 0.907 0.612
Cu 0.755 0.254 0.478
Mg 0.837 0.337 0.855
Mg 0.862 0.705 0.519
Mg 0.246 0.746 0.243
Mg 0.205 0.361 0.519
Mg 0.717 0.629 0.922
Mg 0.129 0.218 0.922

---

[20]
A plane-wave DFT calculation with GGA-PBE was carried out for a relaxed Ga2GeO6 crystal.

SG = No. 136
Crystal system = tetragonal
Uncorrected formation energy = -1.319 eV per atom
Energy = -5.810 eV per atom
D(E_F) = 12.90 states/eV/cell

Lattice parameters (Å, degrees): 4.574 4.574 8.992 90.00 90.00 90.00
Sites, in units of the cell vectors:
O 0.307 0.307 0.660
O 0.193 0.807 0.160
O 0.693 0.693 0.340
O 0.307 0.307 0.340
O 0.693 0.693 0.660
O 0.193 0.807 0.840
O 0.297 0.297 0.000
O 0.807 0.193 0.160
O 0.807 0.193 0.840
O 0.797 0.203 0.500
O 0.203 0.797 0.500
O 0.703 0.703 0.000
Ge 0.000 0.000 0.000
Ge 0.500 0.500 0.500
Ga 0.500 0.500 0.832
Ga 0.500 0.500 0.168
Ga 0.000 0.000 0.332
Ga 0.000 0.000 0.668

---

[21]
A plane-wave DFT calculation with GGA-PBE was carried out for a relaxed Li7Ga3 crystal.

ΔH_f (0 K) = -219 meV per atom
SG = No. 12
Crystal system = monoclinic
Energy = -2.467 eV per atom
D(E_F) = 2.77 states/eV/cell

Lattice parameters (Å, degrees): 4.562 5.470 7.856 121.42 106.88 90.00
Sites, in units of the cell vectors:
Li 0.202 0.105 0.404
Li 0.602 0.297 0.205
Li 0.398 0.703 0.795
Li 0.798 0.895 0.596
Li 0.396 0.181 0.791
Li 0.604 0.819 0.209
Li 0.000 0.500 0.000
Ga 0.000 0.000 0.000
Ga 0.805 0.415 0.610
Ga 0.195 0.585 0.390

---

[22]
A plane-wave DFT calculation with GGA-PBE was carried out for a relaxed Co2NiS4 crystal.

SG = No. 88
Crystal system = tetragonal
Uncorrected formation energy = -0.075 eV per atom
Energy = -5.290 eV per atom
D(E_F) = 15.52 states/eV/cell

Lattice parameters (Å, degrees): 5.740 5.740 7.501 112.50 112.50 90.00
Sites, in units of the cell vectors:
S 0.165 0.649 0.946
S 0.781 0.297 0.946
S 0.047 0.415 0.446
S 0.703 0.835 0.054
S 0.585 0.601 0.554
S 0.399 0.031 0.446
S 0.351 0.219 0.054
S 0.969 0.953 0.554
Co 0.375 0.125 0.750
Co 0.875 0.625 0.250
Co 0.375 0.625 0.250
Co 0.375 0.625 0.750
Ni 0.000 0.000 0.000
Ni 0.750 0.250 0.500

---

[23]
A plane-wave DFT calculation with GGA-PBE was carried out for a relaxed SiPb3Br crystal.

Energy above the most stable polymorph in this dataset = 0.00 kcal/mol of atoms
SG = No. 221
Crystal system = cubic
Uncorrected formation energy = 0.311 eV per atom
Energy = -3.333 eV per atom
D(E_F) = 4.29 states/eV/cell

Lattice parameters (Å, degrees): 5.568 5.568 5.568 90.00 90.00 90.00
Sites, in units of the cell vectors:
Pb 0.000 0.000 0.500
Pb 0.500 0.000 0.000
Pb 0.000 0.500 0.000
Si 0.000 0.000 0.000
Br 0.500 0.500 0.500